Compound: MgP2Ru
Source: Alexandria via LeMat-Bulk
Functional: PBE
Structure: relaxed

Properties
* energy: -5.6078 eV/atom
* formation enthalpy at 0 K: -0.185 eV/atom

abc: 2.9659 2.9659 6.6659
angles: 90.00 90.00 90.00
Closest atoms and distances in Å follow each position.
Positions (direct):
Mg1 0.5000 0.5000 0.7500  8 P 2.81, 4 Mg 2.97
P1 0.0000 0.0000 0.4688  4 Ru 2.55, 4 Mg 2.81
P2 0.0000 0.0000 0.0312  4 Ru 2.55, 4 Mg 2.81
Ru1 0.5000 0.5000 0.2500  8 P 2.55